LiV2SnBr: optimized geometry, GGA-PBE.

Cell and atoms, written as CIF:
```
data_LiV2SnBr
_chemical_formula_sum 'Li1 V2 Sn1 Br1'
_cell_length_a 4.887
_cell_length_b 4.518
_cell_length_c 4.887
_cell_angle_alpha 90.00
_cell_angle_beta 90.00
_cell_angle_gamma 90.00
_symmetry_space_group_name_H-M 'P 1'
_symmetry_Int_Tables_number 1
_symmetry_space_group_name_Hall 'P 1'
loop_
_atom_site_label
_atom_site_fract_x
_atom_site_fract_y
_atom_site_fract_z
Li1 0.000 0.000 0.000
Sn1 0.000 0.500 0.000
Br1 0.500 0.500 0.500
V1 0.000 0.000 0.500
V2 0.500 0.000 0.000
```

Values from the calculation:
electronic total energy: -21.1 eV for the cell shown
total magnetization: 6.34 μB per formula unit
Fermi-level density of states: 6.443 states/eV/f.u.
energy relative to the elements, uncorrected: 949 meV/atom



InCoPd2N: optimized geometry, GGA-PBE.

Cell and atoms, written as CIF:
```
data_InCoPd2N
_chemical_formula_sum 'In1 Co1 Pd2 N1'
_cell_length_a 4.927
_cell_length_b 4.775
_cell_length_c 4.927
_cell_angle_alpha 90.00
_cell_angle_beta 90.00
_cell_angle_gamma 90.00
_symmetry_space_group_name_H-M 'P 1'
_symmetry_Int_Tables_number 1
_symmetry_space_group_name_Hall 'P 1'
loop_
_atom_site_label
_atom_site_fract_x
_atom_site_fract_y
_atom_site_fract_z
N1 0.500 0.500 0.500
Co1 0.000 0.500 0.000
Pd1 0.000 0.000 0.500
Pd2 0.500 0.000 0.000
In1 0.000 0.000 0.000
```

Values from the calculation:
electronic total energy: -17.6 eV for the cell shown
total magnetization: 1.73 μB per formula unit
Fermi-level density of states: 8.315 states/eV/f.u.
energy relative to the elements, uncorrected: 2200 meV/atom



KNiSb2: optimized geometry, GGA-PBE.

Cell and atoms, written as CIF:
```
data_KNiSb2
_chemical_formula_sum 'K1 Ni1 Sb2'
_cell_length_a 3.426
_cell_length_b 3.426
_cell_length_c 8.333
_cell_angle_alpha 90.00
_cell_angle_beta 90.00
_cell_angle_gamma 90.00
_symmetry_space_group_name_H-M 'P 1'
_symmetry_Int_Tables_number 1
_symmetry_space_group_name_Hall 'P 1'
loop_
_atom_site_label
_atom_site_fract_x
_atom_site_fract_y
_atom_site_fract_z
K1 0.500 0.500 0.250
Ni1 0.500 0.500 0.750
Sb1 0.000 0.000 0.925
Sb2 0.000 0.000 0.575
```

Values from the calculation:
electronic total energy: -15.3 eV for the cell shown
total magnetization: 0.00 μB per formula unit
Fermi-level density of states: 3.123 states/eV/f.u.
energy relative to the elements, uncorrected: -55 meV/atom



BaMg2Cu: optimized geometry, GGA-PBE.

Cell and atoms, written as CIF:
```
data_BaMg2Cu
_chemical_formula_sum 'Ba1 Mg2 Cu1'
_cell_length_a 3.444
_cell_length_b 3.444
_cell_length_c 8.703
_cell_angle_alpha 90.00
_cell_angle_beta 90.00
_cell_angle_gamma 90.00
_symmetry_space_group_name_H-M 'P 1'
_symmetry_Int_Tables_number 1
_symmetry_space_group_name_Hall 'P 1'
loop_
_atom_site_label
_atom_site_fract_x
_atom_site_fract_y
_atom_site_fract_z
Ba1 0.500 0.500 0.250
Cu1 0.500 0.500 0.750
Mg1 0.000 0.000 0.919
Mg2 0.000 0.000 0.581
```

Values from the calculation:
electronic total energy: -9.0 eV for the cell shown
total magnetization: 0.00 μB per formula unit
Fermi-level density of states: 2.497 states/eV/f.u.



ZrTiRh: optimized geometry, GGA-PBE.

Cell and atoms, written as CIF:
```
data_ZrTiRh
_chemical_formula_sum 'Zr2 Ti2 Rh2'
_cell_length_a 5.244
_cell_length_b 5.244
_cell_length_c 5.244
_cell_angle_alpha 94.90
_cell_angle_beta 117.75
_cell_angle_gamma 116.68
_symmetry_space_group_name_H-M 'P 1'
_symmetry_Int_Tables_number 1
_symmetry_space_group_name_Hall 'P 1'
loop_
_atom_site_label
_atom_site_fract_x
_atom_site_fract_y
_atom_site_fract_z
Zr1 0.250 0.118 0.868
Zr2 0.750 0.882 0.132
Ti1 0.500 0.500 0.500
Ti2 0.000 0.500 0.000
Rh1 0.000 0.500 0.500
Rh2 0.500 0.000 0.500
```

Values from the calculation:
electronic total energy: -51.4 eV for the cell shown
total magnetization: 0.00 μB per formula unit
Fermi-level density of states: 2.712 states/eV/f.u.



TbCe2InCo: optimized geometry, GGA-PBE.

Cell and atoms, written as CIF:
```
data_TbCe2InCo
_chemical_formula_sum 'Tb1 Ce2 In1 Co1'
_cell_length_a 4.944
_cell_length_b 4.944
_cell_length_c 5.502
_cell_angle_alpha 90.00
_cell_angle_beta 90.00
_cell_angle_gamma 90.00
_symmetry_space_group_name_H-M 'P 1'
_symmetry_Int_Tables_number 1
_symmetry_space_group_name_Hall 'P 1'
loop_
_atom_site_label
_atom_site_fract_x
_atom_site_fract_y
_atom_site_fract_z
Tb1 0.000 0.000 0.500
Ce1 0.000 0.500 0.000
Ce2 0.500 0.000 0.000
In1 0.500 0.500 0.500
Co1 0.000 0.000 0.000
```

Values from the calculation:
electronic total energy: -27.7 eV for the cell shown
total magnetization: 0.51 μB per formula unit
Fermi-level density of states: 8.078 states/eV/f.u.



ZrMn2OsW: optimized geometry, GGA-PBE.

Cell and atoms, written as CIF:
```
data_ZrMn2OsW
_chemical_formula_sum 'Zr1 Mn2 Os1 W1'
_cell_length_a 4.418
_cell_length_b 4.895
_cell_length_c 4.418
_cell_angle_alpha 90.00
_cell_angle_beta 90.00
_cell_angle_gamma 90.00
_symmetry_space_group_name_H-M 'P 1'
_symmetry_Int_Tables_number 1
_symmetry_space_group_name_Hall 'P 1'
loop_
_atom_site_label
_atom_site_fract_x
_atom_site_fract_y
_atom_site_fract_z
Mn1 0.000 0.000 0.500
Mn2 0.500 0.000 0.000
Os1 0.500 0.500 0.500
Zr1 0.000 0.000 0.000
W1 0.000 0.500 0.000
```

Values from the calculation:
electronic total energy: -39.6 eV for the cell shown
total magnetization: 3.85 μB per formula unit
Fermi-level density of states: 6.058 states/eV/f.u.



ThMg2Hg: optimized geometry, GGA-PBE.

Cell and atoms, written as CIF:
```
data_ThMg2Hg
_chemical_formula_sum 'Th1 Mg2 Hg1'
_cell_length_a 3.295
_cell_length_b 3.295
_cell_length_c 11.513
_cell_angle_alpha 81.77
_cell_angle_beta 81.77
_cell_angle_gamma 60.00
_symmetry_space_group_name_H-M 'P 1'
_symmetry_Int_Tables_number 1
_symmetry_space_group_name_Hall 'P 1'
loop_
_atom_site_label
_atom_site_fract_x
_atom_site_fract_y
_atom_site_fract_z
Mg1 0.098 0.098 0.706
Mg2 0.902 0.902 0.294
Hg1 0.500 0.500 0.500
Th1 0.000 0.000 0.000
```

Values from the calculation:
electronic total energy: -10.3 eV for the cell shown
total magnetization: 0.00 μB per formula unit
Fermi-level density of states: 2.309 states/eV/f.u.



SrHIF2: optimized geometry, GGA-PBE.

Cell and atoms, written as CIF:
```
data_SrHIF2
_chemical_formula_sum 'Sr1 H1 I1 F2'
_cell_length_a 4.626
_cell_length_b 4.377
_cell_length_c 4.626
_cell_angle_alpha 90.00
_cell_angle_beta 90.00
_cell_angle_gamma 90.00
_symmetry_space_group_name_H-M 'P 1'
_symmetry_Int_Tables_number 1
_symmetry_space_group_name_Hall 'P 1'
loop_
_atom_site_label
_atom_site_fract_x
_atom_site_fract_y
_atom_site_fract_z
I1 0.500 0.500 0.500
Sr1 0.000 0.500 0.000
H1 0.000 0.000 0.000
F1 0.000 0.000 0.500
F2 0.500 0.000 0.000
```

Values from the calculation:
electronic total energy: -15.7 eV for the cell shown
total magnetization: 1.83 μB per formula unit
Fermi-level density of states: 0.825 states/eV/f.u.



PuUFeCu: optimized geometry, GGA-PBE.

Cell and atoms, written as CIF:
```
data_PuUFeCu
_chemical_formula_sum 'Pu1 U1 Fe1 Cu1'
_cell_length_a 4.500
_cell_length_b 4.500
_cell_length_c 4.500
_cell_angle_alpha 60.00
_cell_angle_beta 60.00
_cell_angle_gamma 60.00
_symmetry_space_group_name_H-M 'P 1'
_symmetry_Int_Tables_number 1
_symmetry_space_group_name_Hall 'P 1'
loop_
_atom_site_label
_atom_site_fract_x
_atom_site_fract_y
_atom_site_fract_z
U1 0.000 0.000 0.000
Fe1 0.750 0.750 0.750
Cu1 0.500 0.500 0.500
Pu1 0.250 0.250 0.250
```

Values from the calculation:
electronic total energy: -38.2 eV for the cell shown
total magnetization: 5.04 μB per formula unit
Fermi-level density of states: 4.873 states/eV/f.u.



Tb2Ni9Ir: optimized geometry, GGA-PBE.

Cell and atoms, written as CIF:
```
data_Tb2Ni9Ir
_chemical_formula_sum 'Tb2 Ni9 Ir1'
_cell_length_a 4.883
_cell_length_b 4.883
_cell_length_c 8.473
_cell_angle_alpha 73.25
_cell_angle_beta 73.25
_cell_angle_gamma 60.00
_symmetry_space_group_name_H-M 'P 1'
_symmetry_Int_Tables_number 1
_symmetry_space_group_name_Hall 'P 1'
loop_
_atom_site_label
_atom_site_fract_x
_atom_site_fract_y
_atom_site_fract_z
Tb1 0.868 0.868 0.397
Tb2 0.132 0.132 0.603
Ni1 0.667 0.667 0.999
Ni2 0.333 0.333 0.001
Ni3 0.500 0.500 0.500
Ni4 0.419 0.419 0.242
Ni5 0.920 0.419 0.242
Ni6 0.419 0.920 0.242
Ni7 0.581 0.581 0.758
Ni8 0.581 0.080 0.758
Ni9 0.080 0.581 0.758
Ir1 0.000 0.000 0.000
```

Values from the calculation:
electronic total energy: -71.4 eV for the cell shown
total magnetization: 4.20 μB per formula unit
Fermi-level density of states: 15.403 states/eV/f.u.



TbZnRu: optimized geometry, GGA-PBE.

Cell and atoms, written as CIF:
```
data_TbZnRu
_chemical_formula_sum 'Tb1 Zn1 Ru1'
_cell_length_a 3.542
_cell_length_b 4.374
_cell_length_c 4.374
_cell_angle_alpha 120.00
_cell_angle_beta 90.00
_cell_angle_gamma 90.00
_symmetry_space_group_name_H-M 'P 1'
_symmetry_Int_Tables_number 1
_symmetry_space_group_name_Hall 'P 1'
loop_
_atom_site_label
_atom_site_fract_x
_atom_site_fract_y
_atom_site_fract_z
Ru1 0.167 0.333 0.667
Zn1 0.167 0.000 0.000
Tb1 0.667 0.667 0.333
```

Values from the calculation:
electronic total energy: -16.0 eV for the cell shown
total magnetization: 0.00 μB per formula unit
Fermi-level density of states: 1.061 states/eV/f.u.